[1]
## Pm4Pd (PBE)

Data for a relaxed Pm4Pd crystal. Values from VASP.

Calculated values
**ΔH_f (0 K)**: -0.08 eV/atom
**ΔE to the lowest computed polymorph**: 158 meV per atom

Structure (Quantum ESPRESSO input):
```
&SYSTEM
  ibrav = 0, nat = 5, ntyp = 2
/
ATOMIC_SPECIES
Pd 106.42 Pd.upf
Pm 145.00 Pm.upf
ATOMIC_POSITIONS crystal
Pd 0.500 0.500 0.500
Pm 0.500 0.000 0.500
Pm 0.500 0.500 0.000
Pm 0.000 0.000 0.000
Pm 0.000 0.500 0.500
CELL_PARAMETERS angstrom
5.619 0.000 0.000
0.000 5.619 0.000
0.000 0.000 5.619
```

[2]
## Li2TmPtO4 (PBE)

Data for a relaxed Li2TmPtO4 crystal. Values from VASP.

Calculated values
**Calculated total energy**: -49.229 eV per cell

Structure (Quantum ESPRESSO input):
```
&SYSTEM
  ibrav = 0, nat = 8, ntyp = 4
/
ATOMIC_SPECIES
Tm 168.93 Tm.upf
O 16.00 O.upf
Li 6.94 Li.upf
Pt 195.08 Pt.upf
ATOMIC_POSITIONS crystal
Tm 0.500 0.500 0.000
O 0.000 0.285 0.732
Li 0.500 0.000 0.500
O 0.500 0.209 0.221
O 0.500 0.791 0.779
O 0.000 0.715 0.268
Li 0.000 0.500 0.500
Pt 0.000 0.000 0.000
CELL_PARAMETERS angstrom
3.217 0.000 0.000
0.000 5.386 0.017
0.000 -1.956 5.185
```

no.,spin magnetization (μB/f.u.),DOS at the Fermi energy (states/eV/f.u.)
1,0.002,11.0
2,1.006,0.0